A relaxed NaPdBr2 crystal. Source: Alexandria, functional GGA-PBEsol.

Geometry as POSCAR:
```
NaPdBr2
1.0
-2.863 2.863 7.055
2.863 -2.863 7.055
2.863 2.863 -7.055
Na Pd Br
2 2 4
Cartesian
0.000 0.000 0.000
0.000 2.863 3.528
2.863 0.000 3.528
0.000 0.000 7.055
1.432 -1.153 5.292
1.710 1.432 1.764
1.432 4.016 -1.764
1.153 1.432 8.819
```

Summary:
Its distance to the lowest polymorph of the same formula is 0.00 eV per formula unit. The symmetry is I-42d. Its spin magnetization is 0.228 μB/atom.


A relaxed Na2PdRhBr crystal. Source: Alexandria, functional GGA-PBEsol.

Geometry as POSCAR:
```
Na2PdRhBr
1.0
5.112 0.000 0.000
0.000 5.112 0.000
0.000 0.000 4.767
Na Pd Rh Br
2 1 1 1
Cartesian
0.000 2.556 0.000
2.556 0.000 0.000
0.000 0.000 2.383
2.556 2.556 2.383
0.000 0.000 0.000
```

Summary:
The symmetry is P4/mmm. Its spin magnetization is 0.230 μB/atom. Its total energy is -3.16 eV/atom.